Compound: Li5Mn2CoO8
Source: Alexandria via LeMat-Bulk
Functional: PBE with a Hubbard U
Structure: optimized geometry

Computed properties:
energy relative to the lowest polymorph listed for this composition	92	meV per atom

```
Li5Mn2CoO8
1.0
-1.1042 1.1653 2.3950
-8.8498 -0.0581 -4.1527
0.0870 -8.9882 4.4932
O Li Mn Co
16 10 4 2
Cartesian
-7.8470 -2.8516 -2.2095 O
-1.4578 -7.9381 4.9638 O
-1.0026 -6.0667 2.5557 O
-1.5070 -3.3944 2.7685 O
-3.9523 -6.7325 3.2046 O
-4.5106 0.6971 1.0048 O
-5.3999 -4.0840 -0.5159 O
-2.0635 -0.5353 2.6984 O
-8.4035 0.0075 -2.2796 O
-5.2706 -8.4291 1.6975 O
-8.8210 -6.3083 2.4264 O
-5.9986 -0.9710 -0.5962 O
-8.3657 -4.4370 0.0183 O
-4.5529 -3.9460 3.2846 O
-5.8712 -5.6426 1.7776 O
-3.9119 -2.4159 1.0851 O
-7.1460 -7.2705 1.9358 Li
-3.3464 -2.2253 2.9875 Li
-2.6775 -5.1046 3.0463 Li
-4.4032 -2.2761 -0.9530 Li
-2.8257 -0.6329 0.6996 Li
-0.4869 -6.1585 4.5674 Li
-2.0722 -7.7803 2.8811 Li
-7.7513 -4.5948 2.1011 Li
-7.0848 -2.7540 -0.2107 Li
-6.5641 -1.1616 -2.4986 Li
-4.9315 -3.8973 1.3463 Mn
-4.9789 0.5104 -0.8574 Mn
-9.8339 -7.8003 2.6746 Mn
0.0104 -4.5748 2.3075 Mn
-0.5303 -1.6644 2.3208 Co
-4.3597 -6.7702 1.2936 Co
```